Version P
First-principles (PBE) data for crystalline RbAgAsO at its relaxed geometry, as listed in the Open Quantum Materials Database.

a b c (Å): 4.5031 4.5031 9.0008
angles (deg): 90.00 90.00 90.00
Fractional positions:
Rb  0.2500  0.7500  0.0000
Rb  0.7500  0.2500  0.0000
Ag  0.2500  0.2500  0.2745
Ag  0.7500  0.7500  0.7255
As  0.2500  0.2500  0.5632
As  0.7500  0.7500  0.4368
O  0.2500  0.7500  0.5000
O  0.7500  0.2500  0.5000

=====

Version Q
First-principles (PBE) data for crystalline RbAgAsO at its relaxed geometry, as listed in the Open Quantum Materials Database.

a b c (Å): 4.8430 4.8430 7.2391
angles (deg): 90.00 90.00 90.00
Fractional positions:
Rb  0.2500  0.2500  0.1415
Rb  0.7500  0.7500  0.8585
Ag  0.2500  0.7500  0.5000
Ag  0.7500  0.2500  0.5000
As  0.2500  0.2500  0.6654
As  0.7500  0.7500  0.3346
O  0.2500  0.7500  0.0000
O  0.7500  0.2500  0.0000

=====

Version R
First-principles (PBE) data for crystalline RbAgAsO at its relaxed geometry, as listed in the Open Quantum Materials Database.

a b c (Å): 4.2511 7.4247 7.3716
angles (deg): 90.00 90.00 90.00
Fractional positions:
Rb  0.0000  0.2177  0.0000
Rb  0.0000  0.7823  0.5000
Ag  0.5000  0.3916  0.6093
Ag  0.5000  0.6084  0.1093
As  0.0000  0.2619  0.4932
As  0.0000  0.7381  0.9932
O  0.5000  0.4200  0.8893
O  0.5000  0.5800  0.3893

=====

Tell me which of them is the least stable. Sure, it is version P.

=====

Version P
First-principles (PBE) data for crystalline RbAg2AsS2O2 at its relaxed geometry, as listed in the Open Quantum Materials Database.

a b c (Å): 6.2043 5.8664 6.5713
angles (deg): 59.52 54.58 65.90
Fractional positions:
Rb  0.0000  0.0000  0.0000
Ag  0.2530  0.2530  0.2470
Ag  0.7530  0.7530  0.7470
As  0.5257  0.5257  0.4743
S  0.1722  0.5470  0.4530
S  0.5470  0.1722  0.8278
O  0.4844  0.8087  0.5156
O  0.8087  0.4844  0.1913

=====

Version Q
First-principles (PBE) data for crystalline RbAg2AsS2O2 at its relaxed geometry, as listed in the Open Quantum Materials Database.

a b c (Å): 5.9151 5.9151 6.2509
angles (deg): 118.56 118.56 64.80
Fractional positions:
Rb  0.0000  0.0000  0.0000
Ag  0.1952  0.3101  0.7339
Ag  0.6899  0.8048  0.2661
As  0.4051  0.5949  0.5000
S  0.4883  0.2448  0.1678
S  0.7552  0.5117  0.8322
O  0.1228  0.6202  0.5378
O  0.3798  0.8772  0.4622

=====

Tell me which of them is the least stable. Sure, it is version Q.

=====

Version P
First-principles (PBE) data for crystalline AgAsSO at its relaxed geometry, as listed in the Open Quantum Materials Database.

a b c (Å): 5.9728 9.5616 5.5756
angles (deg): 90.00 90.00 90.00
Fractional positions:
Ag  0.1185  0.1091  0.0000
Ag  0.3815  0.1091  0.5000
Ag  0.6185  0.8909  0.0000
Ag  0.8815  0.8909  0.5000
As  0.0522  0.7012  0.0381
As  0.4478  0.7012  0.5381
As  0.5522  0.2988  0.0381
As  0.9478  0.2988  0.5381
S  0.0633  0.6667  0.6136
S  0.4367  0.6667  0.1136
S  0.5633  0.3333  0.6136
S  0.9367  0.3333  0.1136
O  0.0202  0.8824  0.0598
O  0.4798  0.8824  0.5598
O  0.5202  0.1176  0.0598
O  0.9798  0.1176  0.5598

=====

Version Q
First-principles (PBE) data for crystalline AgAsSO at its relaxed geometry, as listed in the Open Quantum Materials Database.

a b c (Å): 3.4449 6.5006 6.7158
angles (deg): 90.00 90.00 90.00
Fractional positions:
Ag  0.0000  0.2333  0.0000
Ag  0.0000  0.7667  0.5000
As  0.5000  0.2830  0.4259
As  0.5000  0.7170  0.9259
S  0.0000  0.1242  0.6237
S  0.0000  0.8758  0.1237
O  0.5000  0.4762  0.0341
O  0.5000  0.5238  0.5341

=====

Version R
First-principles (PBE) data for crystalline AgAsSO at its relaxed geometry, as listed in the Open Quantum Materials Database.

a b c (Å): 6.5619 7.3995 5.7381
angles (deg): 90.00 90.74 90.00
Fractional positions:
Ag  0.0810  0.1945  0.4935
Ag  0.0810  0.3055  0.9935
Ag  0.9190  0.6945  0.0065
Ag  0.9190  0.8055  0.5065
As  0.3996  0.6658  0.2614
As  0.3996  0.8342  0.7614
As  0.6004  0.1658  0.2386
As  0.6004  0.3342  0.7386
S  0.1806  0.5899  0.7064
S  0.1806  0.9101  0.2064
S  0.8194  0.0899  0.7936
S  0.8194  0.4101  0.2936
O  0.4398  0.2364  0.4978
O  0.4398  0.2636  0.9978
O  0.5602  0.7364  0.0022
O  0.5602  0.7636  0.5022

=====

Version S
First-principles (PBE) data for crystalline AgAsSO at its relaxed geometry, as listed in the Open Quantum Materials Database.

a b c (Å): 6.4156 4.5423 11.2155
angles (deg): 90.00 94.17 90.00
Fractional positions:
Ag  0.0380  0.0000  0.1952
Ag  0.3552  0.6662  0.9585
Ag  0.6448  0.1662  0.0415
Ag  0.9620  0.5000  0.8048
As  0.1620  0.2848  0.4656
As  0.4133  0.0324  0.7091
As  0.5867  0.5324  0.2909
As  0.8380  0.7848  0.5344
S  0.1226  0.9921  0.8148
S  0.4086  0.8601  0.1636
S  0.5914  0.3601  0.8364
S  0.8774  0.4921  0.1852
O  0.0921  0.8965  0.4793
O  0.3274  0.3296  0.6031
O  0.6726  0.8296  0.3969
O  0.9079  0.3965  0.5207

=====

Tell me which of them is the least stable. Sure, it is version P.

=====

Version P
First-principles (PBE) data for crystalline SiAgAsO at its relaxed geometry, as listed in the Open Quantum Materials Database.

a b c (Å): 4.2711 4.2711 8.2438
angles (deg): 90.00 90.00 90.00
Fractional positions:
Si  0.2500  0.7500  0.0000
Si  0.7500  0.2500  0.0000
Ag  0.2500  0.2500  0.4496
Ag  0.7500  0.7500  0.5504
As  0.2500  0.2500  0.8357
As  0.7500  0.7500  0.1643
O  0.2500  0.7500  0.5000
O  0.7500  0.2500  0.5000

=====

Version Q
First-principles (PBE) data for crystalline SiAgAsO at its relaxed geometry, as listed in the Open Quantum Materials Database.

a b c (Å): 3.6822 8.5446 4.8975
angles (deg): 90.00 90.00 90.00
Fractional positions:
Si  0.0000  0.1142  0.0000
Si  0.0000  0.8858  0.5000
Ag  0.5000  0.3845  0.4367
Ag  0.5000  0.6155  0.9367
As  0.5000  0.2802  0.9353
As  0.5000  0.7198  0.4353
O  0.0000  0.0458  0.3136
O  0.0000  0.9542  0.8136

=====

Version R
First-principles (PBE) data for crystalline SiAgAsO at its relaxed geometry, as listed in the Open Quantum Materials Database.

a b c (Å): 3.5776 3.5776 9.6322
angles (deg): 90.00 90.00 90.00
Fractional positions:
Si  0.2500  0.2500  0.1030
Si  0.7500  0.7500  0.8970
Ag  0.2500  0.7500  0.5000
Ag  0.7500  0.2500  0.5000
As  0.2500  0.2500  0.7186
As  0.7500  0.7500  0.2814
O  0.2500  0.7500  0.0000
O  0.7500  0.2500  0.0000

=====

Version S
First-principles (PBE) data for crystalline SiAgAsO at its relaxed geometry, as listed in the Open Quantum Materials Database.

a b c (Å): 2.8132 7.9513 6.0209
angles (deg): 90.00 90.00 90.00
Fractional positions:
Si  0.0000  0.1121  0.0000
Si  0.0000  0.8879  0.5000
Ag  0.5000  0.4725  0.5109
Ag  0.5000  0.5275  0.0109
As  0.0000  0.1762  0.3851
As  0.0000  0.8238  0.8851
O  0.5000  0.1946  0.8904
O  0.5000  0.8054  0.3904

=====

Tell me which of them is the least stable. Sure, it is version P.

=====

Version P
First-principles (PBE) data for crystalline SmAgAsO at its relaxed geometry, as listed in the Open Quantum Materials Database.

a b c (Å): 4.0516 4.0516 9.1798
angles (deg): 90.00 90.00 90.00
Fractional positions:
Sm  0.2500  0.2500  0.1229
Sm  0.7500  0.7500  0.8771
Ag  0.2500  0.7500  0.5000
Ag  0.7500  0.2500  0.5000
As  0.2500  0.2500  0.6919
As  0.7500  0.7500  0.3081
O  0.2500  0.7500  0.0000
O  0.7500  0.2500  0.0000

=====

Version Q
First-principles (PBE) data for crystalline SmAgAsO at its relaxed geometry, as listed in the Open Quantum Materials Database.

a b c (Å): 4.3218 6.4707 5.7540
angles (deg): 90.00 90.00 90.00
Fractional positions:
Sm  0.0000  0.2462  0.0000
Sm  0.0000  0.7538  0.5000
Ag  0.5000  0.1482  0.4433
Ag  0.5000  0.8518  0.9433
As  0.5000  0.4752  0.7290
As  0.5000  0.5248  0.2290
O  0.0000  0.0561  0.3255
O  0.0000  0.9439  0.8255

=====

Tell me which of them is the least stable. Sure, it is version Q.

=====

Version P
First-principles (PBE) data for crystalline AgSnAsO at its relaxed geometry, as listed in the Open Quantum Materials Database.

a b c (Å): 4.5168 4.5168 8.4183
angles (deg): 90.00 90.00 90.00
Fractional positions:
Ag  0.2500  0.2500  0.0252
Ag  0.7500  0.7500  0.9748
Sn  0.2500  0.7500  0.5000
Sn  0.7500  0.2500  0.5000
As  0.2500  0.2500  0.6972
As  0.7500  0.7500  0.3028
O  0.2500  0.7500  0.0000
O  0.7500  0.2500  0.0000

=====

Version Q
First-principles (PBE) data for crystalline AgSnAsO at its relaxed geometry, as listed in the Open Quantum Materials Database.

a b c (Å): 4.0980 7.0084 6.1075
angles (deg): 90.00 90.00 90.00
Fractional positions:
Ag  0.0000  0.2162  0.0000
Ag  0.0000  0.7838  0.5000
Sn  0.5000  0.3505  0.5443
Sn  0.5000  0.6495  0.0443
As  0.0000  0.1538  0.4147
As  0.0000  0.8462  0.9147
O  0.5000  0.3926  0.8802
O  0.5000  0.6074  0.3802

=====

Version R
First-principles (PBE) data for crystalline AgSnAsO at its relaxed geometry, as listed in the Open Quantum Materials Database.

a b c (Å): 3.8410 3.8410 9.8725
angles (deg): 90.00 90.00 90.00
Fractional positions:
Ag  0.2500  0.7500  0.0000
Ag  0.7500  0.2500  0.0000
Sn  0.2500  0.2500  0.3792
Sn  0.7500  0.7500  0.6208
As  0.2500  0.2500  0.8057
As  0.7500  0.7500  0.1943
O  0.2500  0.7500  0.5000
O  0.7500  0.2500  0.5000

=====

Version S
First-principles (PBE) data for crystalline AgSnAsO at its relaxed geometry, as listed in the Open Quantum Materials Database.

a b c (Å): 3.6383 7.0049 6.7579
angles (deg): 90.00 90.00 90.00
Fractional positions:
Ag  0.0000  0.1419  0.0000
Ag  0.0000  0.8581  0.5000
Sn  0.5000  0.3106  0.4242
Sn  0.5000  0.6894  0.9242
As  0.5000  0.3258  0.8166
As  0.5000  0.6742  0.3166
O  0.0000  0.1762  0.3529
O  0.0000  0.8238  0.8529

=====

Tell me which of them is the least stable. Sure, it is version P.

=====

Version P
First-principles (PBE) data for crystalline SrAgAsO at its relaxed geometry, as listed in the Open Quantum Materials Database.

a b c (Å): 3.4087 7.8092 5.9384
angles (deg): 90.00 90.00 90.00
Fractional positions:
Sr  0.0000  0.1172  0.0000
Sr  0.0000  0.8828  0.5000
Ag  0.5000  0.2837  0.5182
Ag  0.5000  0.7163  0.0182
As  0.0000  0.4854  0.3003
As  0.0000  0.5146  0.8003
O  0.5000  0.0448  0.7187
O  0.5000  0.9552  0.2187

=====

Version Q
First-principles (PBE) data for crystalline SrAgAsO at its relaxed geometry, as listed in the Open Quantum Materials Database.

a b c (Å): 4.5026 7.4669 4.9437
angles (deg): 90.00 90.00 90.00
Fractional positions:
Sr  0.0000  0.1985  0.0000
Sr  0.0000  0.8015  0.5000
Ag  0.5000  0.1507  0.5001
Ag  0.5000  0.8493  0.0001
As  0.5000  0.5000  0.2539
As  0.5000  0.5000  0.7539
O  0.0000  0.1235  0.5004
O  0.0000  0.8765  0.0004

=====

Version R
First-principles (PBE) data for crystalline SrAgAsO at its relaxed geometry, as listed in the Open Quantum Materials Database.

a b c (Å): 4.4974 4.4974 7.9646
angles (deg): 90.00 90.00 90.00
Fractional positions:
Sr  0.2500  0.2500  0.1166
Sr  0.7500  0.7500  0.8834
Ag  0.2500  0.7500  0.5000
Ag  0.7500  0.2500  0.5000
As  0.2500  0.2500  0.6724
As  0.7500  0.7500  0.3276
O  0.2500  0.7500  0.0000
O  0.7500  0.2500  0.0000

=====

Tell me which of them is the least stable. Sure, it is version Q.